The following is a DFT calculation (PBE) of crystalline Al2GaSe4 at its relaxed geometry.

Calculated density, Mg/m³: 3.8
Spin magnetization, μB/cell: 0.0
V, Å³ per atom: 27.4
Uncorrected energy, eV/cell: -28.692

Cell lengths 6.3495, 6.3495, 6.3495 Å; angles 104.35, 104.35, 120.28 degrees
With the nearest neighbours (Å) after each atom.
Fractional coordinates of all 7 atoms:
Se1 0.8240 0.3417 0.1657  2 Al 2.43
Ga1 0.5000 0.5000 0.0000  4 Se 2.81
Al1 0.2500 0.7500 0.5000  4 Se 2.43
Se2 0.3417 0.1760 0.5177  2 Al 2.43
Se3 0.6583 0.8240 0.4823  2 Al 2.43
Al2 0.7500 0.2500 0.5000  4 Se 2.43
Se4 0.1760 0.6583 0.8343  2 Al 2.43

The following is a DFT calculation (PBE) of crystalline Al3GaSe4 at its relaxed geometry.

Calculated density, Mg/m³: 3.2
Spin magnetization, μB/cell: 0.0
V, Å³ per atom: 29.8
Uncorrected energy, eV/cell: -64.801

Cell lengths 6.3716, 9.7481, 7.6777 Å; angles 90.00, 90.00, 90.00 degrees
With the nearest neighbours (Å) after each atom.
Fractional coordinates of all 16 atoms:
Se1 0.0944 0.7594 0.5000  2 Al 2.41
Al1 0.4999 0.3775 0.2488  4 Se 2.41-2.44
Al2 0.0377 0.1951 0.5000  3 Se 2.72-2.78
Ga1 0.5416 0.8260 0.5000  3 Se 2.87-2.92
Al3 0.5377 0.8049 0.0000  3 Se 2.72-2.78
Se2 0.1166 0.3861 0.2509  2 Al 2.42-2.44
Se3 0.6085 0.2455 0.5000  2 Al 2.42
Al4 0.9999 0.6225 0.2512  4 Se 2.41-2.44
Se4 0.6166 0.6139 0.2491  2 Al 2.42-2.44
Se5 0.1085 0.7545 0.0000  2 Al 2.42
Al5 0.4999 0.3775 0.7512  4 Se 2.41-2.44
Se6 0.6166 0.6139 0.7509  2 Al 2.42-2.44
Al6 0.9999 0.6225 0.7488  4 Se 2.41-2.44
Ga2 0.0416 0.1740 0.0000  3 Se 2.87-2.92
Se7 0.1166 0.3861 0.7491  2 Al 2.42-2.44
Se8 0.5944 0.2406 0.0000  2 Al 2.41

The following is a DFT calculation (PBE) of crystalline AlGaSe2 at its relaxed geometry.

Calculated density, Mg/m³: 4.3
Spin magnetization, μB/cell: 0.0
V, Å³ per atom: 24.7
Uncorrected energy, eV/cell: -15.328

Cell lengths 8.9153, 8.9153, 8.9153 Å; angles 23.48, 23.48, 23.48 degrees
With the nearest neighbours (Å) after each atom.
Fractional coordinates of all 4 atoms:
Se1 0.8892 0.8892 0.8892  3 Al 2.55
Al1 0.5000 0.5000 0.5000  6 Se 2.55
Ga1 0.0000 0.0000 0.0000  2 Se 2.88
Se2 0.1108 0.1108 0.1108  3 Al 2.55

The following is a DFT calculation (PBE) of crystalline AlGaSe2 at its relaxed geometry.

Calculated density, Mg/m³: 3.9
Spin magnetization, μB/cell: 0.0
V, Å³ per atom: 27.0
Uncorrected energy, eV/cell: -64.195

Cell lengths 6.4696, 7.1759, 9.3022 Å; angles 90.00, 90.00, 90.00 degrees
With the nearest neighbours (Å) after each atom.
Fractional coordinates of all 16 atoms:
Ga1 0.0697 0.5088 0.4036  3 Se 2.82-2.93
Se1 0.3608 0.5033 0.8756  2 Al 2.37-2.40
Al1 0.9942 0.0007 0.6160  4 Se 2.37-2.44
Se2 0.8608 0.4967 0.1244  2 Al 2.37-2.40
Se3 0.3282 0.7520 0.2475  2 Al 2.43-2.44
Se4 0.8608 0.9967 0.3756  2 Al 2.37-2.40
Al2 0.4942 0.4993 0.1160  4 Se 2.37-2.44
Ga2 0.0697 0.0088 0.0964  3 Se 2.82-2.93
Se5 0.3282 0.2520 0.2525  2 Al 2.43-2.44
Al3 0.9942 0.5007 0.8840  4 Se 2.37-2.44
Se6 0.3608 0.0033 0.6244  2 Al 2.37-2.40
Se7 0.8282 0.7480 0.7475  2 Al 2.43-2.44
Ga3 0.5697 0.4912 0.5964  3 Se 2.82-2.93
Al4 0.4942 0.9993 0.3840  4 Se 2.37-2.44
Ga4 0.5697 0.9912 0.9036  3 Se 2.82-2.93
Se8 0.8282 0.2480 0.7525  2 Al 2.43-2.44